The following is a PBE+U calculation of an optimized crystal structure of NiSnF4, from the Alexandria database.

Raw total energy (eV per atom): -4.54
Crystal system: monoclinic
V (A^3/atom): 16.132

Lattice parameters (Å, degrees): 6.031 6.031 6.063 104.87 104.87 104.71
Positions (direct):
Ni1 0.007 0.993 0.750
Ni2 0.993 0.007 0.250
Sn1 0.371 0.629 0.250
Sn2 0.629 0.371 0.750
F1 0.124 0.842 0.999
F2 0.158 0.876 0.501
F3 0.299 0.312 0.410
F4 0.312 0.299 0.910
F5 0.688 0.701 0.090
F6 0.701 0.688 0.590
F7 0.842 0.124 0.499
F8 0.876 0.158 0.001